Record 1
This record from the Open Quantum Materials Database describes crystalline AcZnO3 at its relaxed geometry. The functional is PBE-GGA.

Structure (POSCAR):
```
AcZnO3
1.0
4.283 0.000 0.000
0.000 4.283 0.000
0.000 0.000 4.945
Ac O Zn
1 3 1
direct
0.500 0.500 0.532
0.500 0.500 0.072
0.500 0.000 0.734
0.000 0.500 0.734
0.000 0.000 0.826
```

***

Record 2
This record from the Open Quantum Materials Database describes crystalline Ac2Zn2O5 at its relaxed geometry. The functional is PBE-GGA.

Structure (POSCAR):
```
Ac2Zn2O5
1.0
7.558 0.000 0.000
0.000 4.052 0.000
0.000 0.000 4.052
Ac O Zn
2 5 2
direct
0.000 0.000 0.000
0.500 0.000 0.000
0.216 0.500 0.000
0.784 0.500 0.000
0.216 0.000 0.500
0.784 0.000 0.500
0.500 0.500 0.500
0.243 0.500 0.500
0.757 0.500 0.500
```

Calculated values
relative energy among the computed polymorphs: 0.0 kJ per mole of atoms

***

Record 3
This record from the Open Quantum Materials Database describes crystalline AcZnO3 at its relaxed geometry. The functional is PBE-GGA.

Structure (POSCAR):
```
AcZnO3
1.0
-2.842 4.923 0.000
2.842 4.923 0.000
0.000 3.282 -5.081
Ac O Zn
2 6 2
direct
0.623 0.623 0.131
0.377 0.377 0.869
0.559 0.186 0.265
0.186 0.990 0.265
0.990 0.559 0.265
0.010 0.441 0.735
0.814 0.010 0.735
0.441 0.814 0.735
0.846 0.846 0.461
0.154 0.154 0.539
```

***

Record 4
This record from the Open Quantum Materials Database describes crystalline Ac2Zn2O5 at its relaxed geometry. The functional is PBE-GGA.

Structure (POSCAR):
```
Ac2Zn2O5
1.0
9.318 0.000 0.000
0.000 4.175 0.000
0.000 0.000 4.175
Ac O Zn
2 5 2
direct
0.241 0.500 0.500
0.759 0.500 0.500
0.124 0.500 0.000
0.876 0.500 0.000
0.124 0.000 0.500
0.876 0.000 0.500
0.500 0.500 0.500
0.000 0.000 0.000
0.500 0.000 0.000
```

Calculated values
relative energy among the computed polymorphs: 73.1 kJ per mole of atoms

***

What are the mass density values for these records? In order: 6.231, 8.897, 7.950, 6.797 g/cm3.
What are the uncorrected energy values for these records? In order: -27.5, -56.7, -59.5, -49.9 eV per cell.